[1]
The following is a DFT calculation (GGA-PBE) of a relaxed KBeAg2F4 crystal.

Output
* total magnetization: 0.000 μB per formula unit
* raw total energy: -4.20 eV/atom

a b c (Å): 4.7887 4.7887 6.9769
angles (deg): 105.09 105.09 103.96
Element x y z (fractional)
F  0.7148  0.3854  0.1002
F  0.3854  0.7148  0.1002
F  0.6143  0.6143  0.8008
F  0.1865  0.1865  0.8008
Be  0.4794  0.4794  0.9589
Ag  0.2811  0.7811  0.5622
Ag  0.7811  0.2811  0.5622
K  0.0577  0.0577  0.1154

=====

[2]
The following is a DFT calculation (GGA-PBE) of a relaxed Pm7AgS5 crystal.

Output
* total magnetization: 0.006 μB per formula unit
* raw total energy: -5.97 eV/atom

a b c (Å): 4.0240 6.9770 24.3481
angles (deg): 89.99 90.00 106.84
Element x y z (fractional)
Pm  0.6373  0.2738  0.0366
Pm  0.3632  0.7273  0.5366
Pm  0.6372  0.2736  0.4634
Pm  0.5288  0.0586  0.7500
Pm  0.3633  0.7275  0.9634
Pm  0.4718  0.9426  0.2500
Pm  0.0892  0.1786  0.8941
Pm  0.9114  0.8225  0.3941
Pm  0.8190  0.6383  0.8267
Pm  0.8189  0.6381  0.6732
Pm  0.0891  0.1784  0.6059
Pm  0.9114  0.8226  0.1060
Pm  0.1816  0.3630  0.3267
Pm  0.1816  0.3630  0.1733
Ag  0.2032  0.4073  0.7500
Ag  0.7975  0.5940  0.2500
S  0.5456  0.0910  0.1412
S  0.4549  0.9101  0.6411
S  0.5456  0.0910  0.3589
S  0.2743  0.5481  0.4301
S  0.0003  0.0006  0.0000
S  0.0002  0.0004  0.5000
S  0.2744  0.5483  0.0699
S  0.4550  0.9103  0.8588
S  0.7261  0.4528  0.5699
S  0.7262  0.4530  0.9301

=====

[3]
The following is a DFT calculation (GGA-PBE) of a relaxed NbAuF2 crystal.

Output
* total magnetization: 2.000 μB per formula unit
* E above lowest polymorph: 996 meV/atom

a b c (Å): 4.3188 4.3188 4.3188
angles (deg): 60.00 60.00 60.00
Element x y z (fractional)
Nb  0.0000  0.0000  0.0000
Au  0.5000  0.5000  0.5000
F  0.7500  0.7500  0.7500
F  0.2500  0.2500  0.2500

=====

[4]
The following is a DFT calculation (GGA-PBE) of a relaxed Lu3ScO crystal.

Output
* total magnetization: 0.000 μB per formula unit
* raw total energy: -6.09 eV/atom

a b c (Å): 4.7568 4.7568 4.7568
angles (deg): 90.00 90.00 90.00
Element x y z (fractional)
Lu  0.0000  0.5000  0.0000
Lu  0.0000  0.0000  0.5000
Lu  0.5000  0.0000  0.0000
O  0.0000  0.0000  0.0000
Sc  0.5000  0.5000  0.5000